The following is a DFT calculation (PBE) of a relaxed structure of TcRh3.

Unit cell a=2.7335 b=4.3618 c=4.7623 alpha=90.00 beta=90.00 gamma=90.00
Last column: nearest neighbours and their distance in Å.
Space group Pmm2 (No. 25)
One atom of each set of equivalent atoms:
Tc  0.0000  0.0000  0.0000 [1 per cell]  10 Rh 2.68-2.75, 2 Tc 2.73
Rh  0.0000  0.5000  0.6726 [1 per cell]  2 Tc 2.68, 10 Rh 2.70-2.76
Rh  0.5000  0.0000  0.5010 [1 per cell]  8 Rh 2.69-2.73, 4 Tc 2.74-2.75
Rh  0.5000  0.5000  0.1697 [1 per cell]  8 Rh 2.69-2.76, 4 Tc 2.70

## Properties
Spin magnetization   0.00 Bohr magnetons per cell
Energy of formation from the pure elements   -0.079 eV/atom
Energy   -8.18 eV per atom